Record 1
Pm2ZrGa4Pt3 | PBE | optimized geometry

CIF file:
```
data_Pm2ZrGa4Pt3
_chemical_formula_sum 'Pm2 Zr1 Ga4 Pt3'
_space_group_name_H-M_alt 'P -4 m 2'
_space_group_IT_number 115
_cell_length_a 4.1973
_cell_length_b 4.1973
_cell_length_c 11.4150
_cell_angle_alpha 90.00
_cell_angle_beta 90.00
_cell_angle_gamma 90.00
loop_
_space_group_symop_operation_xyz
'x,y,z'
'y,-x,-z'
'-x,-y,z'
'-y,x,-z'
'-x,y,z'
'-y,-x,-z'
'x,-y,z'
'y,x,-z'
loop_
_atom_site_label
_atom_site_type_symbol
_atom_site_fract_x
_atom_site_fract_y
_atom_site_fract_z
Pm1 Pm 0.0000 0.5000 0.2412
Zr1 Zr 0.0000 0.0000 0.5000
Ga1 Ga 0.0000 0.0000 0.0000
Ga2 Ga 0.0000 0.5000 0.6543
Ga3 Ga 0.5000 0.5000 0.0000
Pt1 Pt 0.0000 0.5000 0.8715
Pt2 Pt 0.5000 0.5000 0.5000
```

Summary:
**DFT formation energy**: -8.791 eV/f.u.

---

Record 2
PmZrGa2Pt2 | PBE | optimized geometry

CIF file:
```
data_PmZrGa2Pt2
_chemical_formula_sum 'Pm1 Zr1 Ga2 Pt2'
_space_group_name_H-M_alt 'P -3 m 1'
_space_group_IT_number 164
_space_group_name_Hall '-P 3 2"'
_cell_length_a 4.4298
_cell_length_b 4.4298
_cell_length_c 6.9961
_cell_angle_alpha 90.00
_cell_angle_beta 90.00
_cell_angle_gamma 120.00
loop_
_atom_site_label
_atom_site_type_symbol
_atom_site_fract_x
_atom_site_fract_y
_atom_site_fract_z
Pm1 Pm 0.0000 0.0000 0.0000
Zr1 Zr 0.0000 0.0000 0.5000
Ga1 Ga 0.3333 0.6667 0.7106
Pt1 Pt 0.3333 0.6667 0.2907
```

Summary:
**DFT formation energy**: -5.951 eV/f.u.

---

Record 3
PmZrGa5Pt2 | PBE | optimized geometry

CIF file:
```
data_PmZrGa5Pt2
_chemical_formula_sum 'Pm1 Zr1 Ga5 Pt2'
_space_group_name_H-M_alt 'P 4/m m m'
_space_group_IT_number 123
_space_group_name_Hall '-P 4 2'
_cell_length_a 4.1803
_cell_length_b 4.1803
_cell_length_c 11.5026
_cell_angle_alpha 90.00
_cell_angle_beta 90.00
_cell_angle_gamma 90.00
loop_
_atom_site_label
_atom_site_type_symbol
_atom_site_fract_x
_atom_site_fract_y
_atom_site_fract_z
Pm1 Pm 0.0000 0.0000 0.0000
Zr1 Zr 0.0000 0.0000 0.5000
Ga1 Ga 0.0000 0.5000 0.3285
Ga2 Ga 0.5000 0.5000 0.0000
Pt1 Pt 0.5000 0.5000 0.2047
```

Summary:
**DFT formation energy**: -2.843 eV/f.u.

---

Record 4
PmPuGa2 | PBE | optimized geometry

CIF file:
```
data_PmPuGa2
_chemical_formula_sum 'Pm4 Pu4 Ga8'
_space_group_name_H-M_alt 'P n m a'
_space_group_IT_number 62
_cell_length_a 7.8919
_cell_length_b 3.5677
_cell_length_c 12.9825
_cell_angle_alpha 90.00
_cell_angle_beta 90.00
_cell_angle_gamma 90.00
loop_
_space_group_symop_operation_xyz
'x,y,z'
'-x,-y,-z'
'-x+1/2,-y,z+1/2'
'x+1/2,y,-z+1/2'
'x+1/2,-y+1/2,-z+1/2'
'-x+1/2,y+1/2,z+1/2'
'-x,y+1/2,-z'
'x,-y+1/2,z'
loop_
_atom_site_label
_atom_site_type_symbol
_atom_site_fract_x
_atom_site_fract_y
_atom_site_fract_z
Pm1 Pm 0.1525 0.2500 0.1346
Pu1 Pu 0.0827 0.2500 0.4738
Ga1 Ga 0.0198 0.2500 0.6947
Ga2 Ga 0.1787 0.2500 0.8643
```

Summary:
**Energy relative to the lowest polymorph listed for this composition**: 11.16 kJ/mol of atoms
**DFT formation energy**: -1.088 eV/f.u.

---

Record 5
PmPuGa2 | PBE | optimized geometry

CIF file:
```
data_PmPuGa2
_chemical_formula_sum 'Pm4 Pu4 Ga8'
_space_group_name_H-M_alt 'F m -3 m'
_space_group_IT_number 225
_space_group_name_Hall '-F 4 2 3'
_cell_length_a 7.2576
_cell_length_b 7.2576
_cell_length_c 7.2576
_cell_angle_alpha 90.00
_cell_angle_beta 90.00
_cell_angle_gamma 90.00
loop_
_atom_site_label
_atom_site_type_symbol
_atom_site_fract_x
_atom_site_fract_y
_atom_site_fract_z
Pm1 Pm 0.0000 0.0000 0.0000
Pu1 Pu 0.0000 0.0000 0.5000
Ga1 Ga 0.2500 0.2500 0.2500
```

Summary:
**Energy relative to the lowest polymorph listed for this composition**: 0.64 kJ/mol of atoms
**DFT formation energy**: -1.524 eV/f.u.

---

Record 6
Pm2PuGa6 | PBE | optimized geometry

CIF file:
```
data_Pm2PuGa6
_chemical_formula_sum 'Pm2 Pu1 Ga6'
_space_group_name_H-M_alt 'P 6/m m m'
_space_group_IT_number 191
_space_group_name_Hall '-P 6 2'
_cell_length_a 7.3933
_cell_length_b 7.3933
_cell_length_c 4.2106
_cell_angle_alpha 90.00
_cell_angle_beta 90.00
_cell_angle_gamma 120.00
loop_
_atom_site_label
_atom_site_type_symbol
_atom_site_fract_x
_atom_site_fract_y
_atom_site_fract_z
Pm1 Pm 0.3333 0.6667 0.0000
Pu1 Pu 0.0000 0.0000 0.0000
Ga1 Ga 0.0000 0.3329 0.5000
```

Summary:
**DFT formation energy**: -4.992 eV/f.u.

---

Record 7
PmPu3Ga8 | PBE | optimized geometry

CIF file:
```
data_PmPu3Ga8
_chemical_formula_sum 'Pm3 Pu9 Ga24'
_space_group_name_H-M_alt 'R 3 m'
_space_group_IT_number 160
_space_group_name_Hall 'R 3 -2"'
_cell_length_a 5.5429
_cell_length_b 5.5429
_cell_length_c 27.1141
_cell_angle_alpha 90.00
_cell_angle_beta 90.00
_cell_angle_gamma 120.00
loop_
_atom_site_label
_atom_site_type_symbol
_atom_site_fract_x
_atom_site_fract_y
_atom_site_fract_z
Pm1 Pm 0.0000 0.0000 0.0000
Pu1 Pu 0.0000 0.0000 0.1278
Pu2 Pu 0.0000 0.0000 0.4992
Pu3 Pu 0.0000 0.0000 0.6187
Ga1 Ga 0.0000 0.0000 0.3116
Ga2 Ga 0.0000 0.0000 0.8113
Ga3 Ga 0.9996 0.4998 0.5621
Ga4 Ga 0.1671 0.3342 0.3946
```

Summary:
**DFT formation energy**: -5.120 eV/f.u.

---

Record 8
Pm2PuGa4 | PBE | optimized geometry

CIF file:
```
data_Pm2PuGa4
_chemical_formula_sum 'Pm4 Pu2 Ga8'
_space_group_name_H-M_alt 'I m m m'
_space_group_IT_number 71
_space_group_name_Hall '-I 2 2'
_cell_length_a 4.1502
_cell_length_b 4.4068
_cell_length_c 18.6203
_cell_angle_alpha 90.00
_cell_angle_beta 90.00
_cell_angle_gamma 90.00
loop_
_atom_site_label
_atom_site_type_symbol
_atom_site_fract_x
_atom_site_fract_y
_atom_site_fract_z
Pm1 Pm 0.0000 0.0000 0.1829
Pu1 Pu 0.0000 0.5000 0.5000
Ga1 Ga 0.0000 0.0000 0.3558
Ga2 Ga 0.0000 0.5000 0.0655
```

Summary:
**DFT formation energy**: -3.330 eV/f.u.